(1)
CeDy2Au | the Alexandria database | GGA-PBE | optimized geometry; magnetization = 0.9 μB per cell; raw total energy = -4.8301 eV/atom
1.0
-2.3918 -1.4233 2.2597
1.0448 -2.4323 2.4177
1.4223 6.1298 8.2103
Ce Dy Au
1 2 1
direct
0.5000 0.5000 0.5000 Ce
0.2614 0.2614 0.2158 Dy
0.7386 0.7386 0.7842 Dy
0.0000 0.0000 0.0000 Au

---

(2)
BaPm2In2Ag2 | the Alexandria database | GGA-PBE | optimized geometry; magnetization = 0.0 μB per cell; raw total energy = -3.5434 eV/atom
1.0
5.0160 0.0000 0.0000
2.5080 4.3440 0.0000
2.5080 1.4480 9.8239
Ag In Pm Ba
2 2 2 1
direct
0.5814 0.5814 0.2558 Ag
0.4186 0.4186 0.7442 Ag
0.7509 0.7509 0.7474 In
0.2491 0.2491 0.2526 In
0.8704 0.8704 0.3888 Pm
0.1296 0.1296 0.6112 Pm
0.0000 0.0000 0.0000 Ba

---

(3)
SrHf2MgAl | the Alexandria database | GGA-PBE | optimized geometry; magnetization = 0.0 μB per cell; raw total energy = -4.6208 eV/atom
1.0
5.1532 0.0000 0.0000
0.0000 5.7807 0.0000
0.0000 0.0000 5.1532
Sr Mg Hf Al
1 1 2 1
direct
0.0000 0.5000 0.0000 Sr
0.5000 0.5000 0.5000 Mg
0.0000 0.0000 0.5000 Hf
0.5000 0.0000 0.0000 Hf
0.0000 0.0000 0.0000 Al

---

(4)
CuSbRh2 | the Alexandria database | GGA-PBE | optimized geometry; uncorrected formation energy = -0.121 eV/atom; magnetization = 0.0 μB per cell; raw total energy = -5.8509 eV/atom
1.0
4.9405 0.0049 -0.0015
3.9682 2.9431 -0.0015
1.1721 0.3879 4.2788
Rh Sb Cu
2 1 1
direct
0.7598 0.7598 0.6888 Rh
0.9891 0.9891 0.0691 Rh
0.5017 0.5017 0.5551 Sb
0.2494 0.2494 0.1870 Cu

---

(5)
SrMn2Si | the Alexandria database | GGA-PBE | optimized geometry; uncorrected formation energy = 0.650 eV/atom; magnetization = 7.6 μB per cell; raw total energy = -5.7106 eV/atom
1.0
-1.7748 -5.3630 1.5822
3.8725 0.3813 -4.3902
2.4873 -1.3086 1.0932
Si Mn Sr
1 2 1
direct
0.5000 0.0000 0.5000 Si
0.5000 0.5000 0.0000 Mn
0.0000 0.0000 0.0000 Mn
0.0000 0.5000 0.5000 Sr

---

(6)
Th4CdIn5 | the Alexandria database | GGA-PBE | optimized geometry; magnetization = 0.0 μB per cell; raw total energy = -4.4207 eV/atom
1.0
7.9935 0.0000 0.0000
0.0000 10.7242 0.0000
0.0000 0.0000 6.9750
Th In Cd
8 10 2
direct
0.8021 0.0000 0.2490 Th
0.5020 0.1842 0.5000 Th
0.1979 0.5000 0.7490 Th
0.4980 0.6842 0.0000 Th
0.4980 0.3158 0.0000 Th
0.8021 0.0000 0.7510 Th
0.5020 0.8158 0.5000 Th
0.1979 0.5000 0.2510 Th
0.8373 0.3104 0.7081 In
0.8373 0.3104 0.2919 In
0.1627 0.1896 0.2081 In
0.1627 0.8104 0.2081 In
0.1587 0.0000 0.5000 In
0.8413 0.5000 0.0000 In
0.8373 0.6896 0.2919 In
0.1627 0.1896 0.7919 In
0.1627 0.8104 0.7919 In
0.8373 0.6896 0.7081 In
0.5634 0.5000 0.5000 Cd
0.4366 0.0000 0.0000 Cd

---

Which value of raw total energy does entry 2 give? -3.5434 eV/atom

---

Among the records above, which one has the lowest raw total energy? CuSbRh2

---

Number 2 is which compound? BaPm2In2Ag2